[1]
## DyTlSnTe3 (PBE)

Data for a relaxed DyTlSnTe3 crystal.

The spin magnetization is 0.00 μB per formula unit. As for the formation energy (no corrections): -0.76 eV/atom.

The structure belongs to space group P2_1/m (No. 11); the cell edges are 9.8599, 4.3965 and 10.1959 Å and the angles 90.00°, 101.96° and 90.00°. Symmetry generates all atoms from Dy at (0.1441, 0.2500, 0.1582), Tl at (0.3157, 0.7500, 0.8004), Sn at (0.3723, 0.7500, 0.4582), Te at (0.0769, 0.2500, 0.8509), Te at (0.1715, 0.2500, 0.4665) and Te at (0.3716, 0.7500, 0.1693).

---

[2]
## DyYSnTe (PBE)

Data for a relaxed DyYSnTe crystal.

The spin magnetization is 0.00 μB per formula unit. As for the formation energy (no corrections): -1.06 eV/atom.

The structure belongs to space group R3m (No. 160, hexagonal axes); the cell edges are 4.3891, 4.3891 and 21.6567 Å and the angles 90.00°, 90.00° and 120.00°. Symmetry generates all atoms from Dy at (0.0000, 0.0000, 0.0000), Y at (0.0000, 0.0000, 0.4912), Sn at (0.0000, 0.0000, 0.7453) and Te at (0.0000, 0.0000, 0.2458).

---

[3]
## Dy3ThSn3 (PBE)

Data for a relaxed Dy3ThSn3 crystal.

The spin magnetization is 0.00 μB per formula unit. The calculation puts the formation energy at -0.505 eV per atom.

The structure belongs to space group P6_3/m (No. 176); the cell edges are 9.1645, 9.1645 and 5.4601 Å and the angles 90.00°, 90.00° and 120.00°. Symmetry generates all atoms from Dy at (0.0061, 0.2416, 0.2500), Th at (0.3333, 0.6667, 0.2500) and Sn at (0.0741, 0.4482, 0.7500).

---

[4]
## Dy2ThSn (PBE)

Data for a relaxed Dy2ThSn crystal.

The spin magnetization is 0.00 μB per formula unit. The calculation puts the polymorph energy (0 for the lowest one) at 1.63 eV/f.u. The calculation puts the formation energy at 0.036 eV per atom.

The structure belongs to space group R-3m (No. 166, hexagonal axes); the cell edges are 3.5336, 3.5336 and 35.5081 Å and the angles 90.00°, 90.00° and 120.00°. Symmetry generates all atoms from Dy at (0.0000, 0.0000, 0.0878), Th at (0.0000, 0.0000, 0.5000) and Sn at (0.0000, 0.0000, 0.0000).

---

[5]
## DyTh3Sn5 (PBE)

Data for a relaxed DyTh3Sn5 crystal.

The spin magnetization is 0.00 μB per formula unit. The calculation puts the formation energy at -0.589 eV per atom.

The structure belongs to space group P6_3/mcm (No. 193); the cell edges are 9.5799, 9.5799 and 6.4373 Å and the angles 90.00°, 90.00° and 120.00°. Symmetry generates all atoms from Dy at (0.0000, 0.0000, 0.0000), Th at (0.0000, 0.3834, 0.2500), Sn at (0.0000, 0.2778, 0.7500) and Sn at (0.3333, 0.6667, 0.0000).

---

[6]
## DyTh4Sn2 (PBE)

Data for a relaxed DyTh4Sn2 crystal.

The spin magnetization is 0.01 μB per formula unit. The calculation puts the formation energy at 0.569 eV per atom.

The structure belongs to space group I4/mmm (No. 139); the cell edges are 5.4582, 5.4582 and 16.5683 Å and the angles 90.00°, 90.00° and 90.00°. Symmetry generates all atoms from Dy at (0.0000, 0.0000, 0.0000), Th at (0.0000, 0.0000, 0.1789), Th at (0.0000, 0.5000, 0.0000) and Sn at (0.0000, 0.0000, 0.3671).

---

[7]
## DyTh3Sn12 (PBE)

Data for a relaxed DyTh3Sn12 crystal.

The spin magnetization is 0.00 μB per formula unit. The calculation puts the formation energy at -0.443 eV per atom.

The structure belongs to space group P4/mmm (No. 123); the cell edges are 4.7872, 4.7872 and 18.6143 Å and the angles 90.00°, 90.00° and 90.00°. Symmetry generates all atoms from Dy at (0.0000, 0.0000, 0.0000), Th at (0.0000, 0.0000, 0.2492), Th at (0.0000, 0.0000, 0.5000), Sn at (0.0000, 0.5000, 0.1218), Sn at (0.0000, 0.5000, 0.3740), Sn at (0.5000, 0.5000, 0.0000), Sn at (0.5000, 0.5000, 0.2473) and Sn at (0.5000, 0.5000, 0.5000).

---

[8]
## Dy2ThSn (PBE)

Data for a relaxed Dy2ThSn crystal.

The spin magnetization is 0.00 μB per formula unit. The calculation puts the polymorph energy (0 for the lowest one) at 0.26 eV/f.u. The calculation puts the formation energy at -0.305 eV per atom.

The structure belongs to space group P4/mmm (No. 123); the cell edges are 3.8478, 3.8478 and 7.8324 Å and the angles 90.00°, 90.00° and 90.00°. Symmetry generates all atoms from Dy at (0.0000, 0.0000, 0.2224), Th at (0.5000, 0.5000, 0.5000) and Sn at (0.5000, 0.5000, 0.0000).

---

[9]
## DyTh2Sn2 (PBE)

Data for a relaxed DyTh2Sn2 crystal.

The spin magnetization is 0.22 μB per formula unit. The calculation puts the polymorph energy (0 for the lowest one) at 1.44 eV/f.u. The calculation puts the formation energy at -0.288 eV per atom.

The structure belongs to space group Cmcm (No. 63); the cell edges are 6.4411, 16.7029 and 5.6886 Å and the angles 90.00°, 90.00° and 90.00°. Symmetry generates all atoms from Dy at (0.0000, 0.0000, 0.0000), Th at (0.0000, 0.1995, 0.2500), Th at (0.0000, 0.4188, 0.7500) and Sn at (0.2443, 0.3655, 0.2500).

---

[10]
## Dy2ThSn (PBE)

Data for a relaxed Dy2ThSn crystal.

The spin magnetization is 0.00 μB per formula unit. The calculation puts the polymorph energy (0 for the lowest one) at 0.00 eV/f.u. The calculation puts the formation energy at -0.370 eV per atom.

The structure belongs to space group P4/mmm (No. 123); the cell edges are 4.8932, 4.8932 and 4.7618 Å and the angles 90.00°, 90.00° and 90.00°. Symmetry generates all atoms from Dy at (0.0000, 0.5000, 0.0000), Th at (0.0000, 0.0000, 0.5000) and Sn at (0.5000, 0.5000, 0.5000).

---

[11]
## DyTh2Sn2 (PBE)

Data for a relaxed DyTh2Sn2 crystal.

The spin magnetization is 0.00 μB per formula unit. The calculation puts the polymorph energy (0 for the lowest one) at 0.00 eV/f.u. The calculation puts the formation energy at -0.575 eV per atom.

The structure belongs to space group P4/mbm (No. 127); the cell edges are 8.2203, 8.2203 and 4.4489 Å and the angles 90.00°, 90.00° and 90.00°. Symmetry generates all atoms from Dy at (0.0000, 0.0000, 0.0000), Th at (0.1697, 0.3303, 0.5000) and Sn at (0.1329, 0.6329, 0.0000).

---

[12]
## Dy2TiSn (PBE)

Data for a relaxed Dy2TiSn crystal.

The spin magnetization is 2.69 μB per formula unit. The calculation puts the formation energy at -0.257 eV per atom.

The structure belongs to space group P4/mmm (No. 123); the cell edges are 4.8355, 4.8355 and 4.3123 Å and the angles 90.00°, 90.00° and 90.00°. Symmetry generates all atoms from Dy at (0.0000, 0.5000, 0.0000), Ti at (0.0000, 0.0000, 0.5000) and Sn at (0.5000, 0.5000, 0.5000).

---

[13]
## DyTiSn (PBE)

Data for a relaxed DyTiSn crystal.

The spin magnetization is 0.42 μB per formula unit. The calculation puts the polymorph energy (0 for the lowest one) at 0.00 eV/f.u. The calculation puts the formation energy at -0.510 eV per atom.

The structure belongs to space group P4/nmm (No. 129, origin choice 2); the cell edges are 4.2675, 4.2675 and 7.9435 Å and the angles 90.00°, 90.00° and 90.00°. Symmetry generates all atoms from Dy at (0.2500, 0.2500, 0.1616), Ti at (0.2500, 0.7500, 0.5000) and Sn at (0.2500, 0.2500, 0.7508).

---

[14]
## DyTiSn2 (PBE)

Data for a relaxed DyTiSn2 crystal.

The spin magnetization is 0.00 μB per formula unit. The calculation puts the polymorph energy (0 for the lowest one) at 0.12 eV/f.u. The calculation puts the formation energy at -0.341 eV per atom.

The structure belongs to space group P4/mmm (No. 123); the cell edges are 4.5814, 4.5814 and 4.3726 Å and the angles 90.00°, 90.00° and 90.00°. Symmetry generates all atoms from Dy at (0.0000, 0.0000, 0.0000), Ti at (0.5000, 0.5000, 0.0000) and Sn at (0.0000, 0.5000, 0.5000).

---

[15]
## DyTiSn2 (PBE)

Data for a relaxed DyTiSn2 crystal.

The spin magnetization is 0.00 μB per formula unit. The calculation puts the polymorph energy (0 for the lowest one) at 0.14 eV/f.u. The calculation puts the formation energy at -0.336 eV per atom.

The structure belongs to space group P4/mmm (No. 123); the cell edges are 3.7482, 3.7482 and 6.6262 Å and the angles 90.00°, 90.00° and 90.00°. Symmetry generates all atoms from Dy at (0.0000, 0.0000, 0.0000), Ti at (0.0000, 0.0000, 0.5000) and Sn at (0.5000, 0.5000, 0.2817).

---

[16]
## DyTiSn (PBE)

Data for a relaxed DyTiSn crystal.

The spin magnetization is 0.73 μB per formula unit. The calculation puts the polymorph energy (0 for the lowest one) at 0.84 eV/f.u. The calculation puts the formation energy at -0.230 eV per atom.

The structure belongs to space group I4mm (No. 107); the cell edges are 3.6654, 3.6654 and 10.4272 Å and the angles 90.00°, 90.00° and 90.00°. Symmetry generates all atoms from Dy at (0.0000, 0.0000, 0.0000), Ti at (0.0000, 0.0000, 0.6788) and Sn at (0.0000, 0.0000, 0.3110).

---

[17]
## DyTiSn3 (PBE)

Data for a relaxed DyTiSn3 crystal.

The spin magnetization is 0.00 μB per formula unit. The calculation puts the formation energy at -0.367 eV per atom.

The structure belongs to space group Pbcm (No. 57); the cell edges are 13.3770, 5.9609 and 6.1525 Å and the angles 90.00°, 90.00° and 90.00°. Symmetry generates all atoms from Dy at (0.1874, 0.0074, 0.2500), Ti at (0.3958, 0.7500, 0.0000), Sn at (0.0045, 0.7500, 0.0000), Sn at (0.2508, 0.5054, 0.2500) and Sn at (0.4237, 0.1876, 0.2500).

---

[18]
## DyTiSn2 (PBE)

Data for a relaxed DyTiSn2 crystal.

The spin magnetization is 0.00 μB per formula unit. The calculation puts the polymorph energy (0 for the lowest one) at 0.00 eV/f.u. The calculation puts the formation energy at -0.370 eV per atom.

The structure belongs to space group R-3m (No. 166, hexagonal axes); the cell edges are 4.6148, 4.6148 and 15.8541 Å and the angles 90.00°, 90.00° and 120.00°. Symmetry generates all atoms from Dy at (0.0000, 0.0000, 0.0000), Ti at (0.0000, 0.0000, 0.5000) and Sn at (0.0000, 0.0000, 0.2346).

---

[19]
## Dy8Tl2Sn (PBE)

Data for a relaxed Dy8Tl2Sn crystal.

The spin magnetization is 0.01 μB per formula unit. The calculation puts the formation energy at -0.152 eV per atom.

The structure belongs to space group C2/m (No. 12); the cell edges are 8.7645, 14.7566 and 5.5541 Å and the angles 90.00°, 112.63° and 90.00°. Symmetry generates all atoms from Dy at (0.0000, 0.2179, 0.0000), Dy at (0.1005, 0.5000, 0.7973), Dy at (0.2074, 0.1125, 0.6168), Tl at (0.0000, 0.3054, 0.5000) and Sn at (0.0000, 0.0000, 0.0000).

---

[20]
## DyTlSn2 (PBE)

Data for a relaxed DyTlSn2 crystal.

The spin magnetization is 0.00 μB per formula unit. The calculation puts the formation energy at -0.299 eV per atom.

The structure belongs to space group P4/mmm (No. 123); the cell edges are 4.1690, 4.1690 and 6.3830 Å and the angles 90.00°, 90.00° and 90.00°. Symmetry generates all atoms from Dy at (0.0000, 0.0000, 0.0000), Tl at (0.0000, 0.0000, 0.5000) and Sn at (0.5000, 0.5000, 0.2346).

---

no.,calculated total energy (eV per atom)
1,-4.155
2,-5.611
3,-5.253
4,-5.121
5,-5.797
6,-5.472
7,-5.124
8,-5.462
9,-5.777
10,-5.527
11,-6.064
12,-5.533
13,-6.010
14,-5.467
15,-5.462
16,-5.730
17,-5.268
18,-5.496
19,-4.293
20,-4.043